Entry 1:
A relaxed YTiC3 crystal, computed with PBE-GGA.

Lattice parameters (Å, degrees): 4.0318 4.0318 4.0318 90.00 90.00 90.00
Atoms (fractional coordinates):
Y: 0.0000 0.0000 0.0000
Ti: 0.5000 0.5000 0.5000
C: 0.0000 0.5000 0.5000
C: 0.5000 0.0000 0.5000
C: 0.5000 0.5000 0.0000

V, A^3/atom: 13.1
Energy of formation, eV/atom: 0.735
Energy above the most stable polymorph in this dataset, meV/atom: 0.0
Total DFT energy (no corrections), eV for the cell shown: -38.4
N(E_F), states/eV/atom: 0.540


Entry 2:
A relaxed YTiC crystal, computed with PBE-GGA.

Lattice parameters (Å, degrees): 3.5118 3.5118 8.4429 90.00 90.00 90.00
Atoms (fractional coordinates):
Y: 0.2500 0.2500 0.1926
Y: 0.7500 0.7500 0.8074
Ti: 0.2500 0.7500 0.5000
Ti: 0.7500 0.2500 0.5000
C: 0.2500 0.2500 0.6690
C: 0.7500 0.7500 0.3310

V, A^3/atom: 17.4
Energy of formation, eV/atom: -0.195
Energy above the most stable polymorph in this dataset, meV/atom: 176.2
Total DFT energy (no corrections), eV for the cell shown: -48.3
N(E_F), states/eV/atom: 0.800


Entry 3:
A relaxed YTiC crystal, computed with PBE-GGA.

Lattice parameters (Å, degrees): 3.4262 5.4930 5.4261 90.00 90.00 90.00
Atoms (fractional coordinates):
Y: 0.0000 0.0924 0.0000
Y: 0.5000 0.9076 0.5000
Ti: 0.0000 0.4170 0.5245
Ti: 0.5000 0.5830 0.0245
C: 0.0000 0.6747 0.2308
C: 0.5000 0.3253 0.7308

V, A^3/atom: 17.0
Energy of formation, eV/atom: -0.309
Energy above the most stable polymorph in this dataset, meV/atom: 61.8
Total DFT energy (no corrections), eV for the cell shown: -49.0
N(E_F), states/eV/atom: 0.844


Entry 4:
A relaxed YTiC crystal, computed with PBE-GGA.

Lattice parameters (Å, degrees): 5.6702 3.3576 5.7671 90.00 101.83 90.00
Atoms (fractional coordinates):
Y: 0.2136 0.0000 0.2748
Y: 0.7864 0.0000 0.7252
Ti: 0.2893 0.5000 0.8289
Ti: 0.7107 0.5000 0.1711
C: 0.0000 0.5000 0.0000
C: 0.5000 0.0000 0.0000

V, A^3/atom: 17.9
Energy of formation, eV/atom: -0.371
Energy above the most stable polymorph in this dataset, meV/atom: 0.0
Total DFT energy (no corrections), eV for the cell shown: -49.4
N(E_F), states/eV/atom: 0.918


Entry 5:
A relaxed TiZn2C2 crystal, computed with PBE-GGA.

Lattice parameters (Å, degrees): 5.9707 5.9707 3.1605 90.00 90.00 90.00
Atoms (fractional coordinates):
Ti: 0.0000 0.0000 0.0000
Ti: 0.5000 0.5000 0.0000
Zn: 0.1452 0.3548 0.5000
Zn: 0.3548 0.8548 0.5000
Zn: 0.6452 0.1452 0.5000
Zn: 0.8548 0.6452 0.5000
C: 0.1745 0.6745 0.0000
C: 0.3255 0.1745 0.0000
C: 0.6745 0.8255 0.0000
C: 0.8255 0.3255 0.0000

V, A^3/atom: 11.3
Energy of formation, eV/atom: 0.789
Energy above the most stable polymorph in this dataset, meV/atom: 241.0
Total DFT energy (no corrections), eV for the cell shown: -49.9
N(E_F), states/eV/atom: 0.492


Entry 6:
A relaxed Ti3ZnC crystal, computed with PBE-GGA.

Lattice parameters (Å, degrees): 7.6147 7.6147 7.6147 142.32 142.32 54.35
Atoms (fractional coordinates):
Ti: 0.2201 0.2201 0.0000
Ti: 0.3387 0.6089 0.7297
Ti: 0.3911 0.1208 0.7297
Ti: 0.3911 0.6613 0.2703
Ti: 0.7799 0.7799 0.0000
Ti: 0.8792 0.6089 0.2703
Zn: 0.6297 0.1297 0.5000
Zn: 0.8703 0.3703 0.5000
C: 0.2500 0.7500 0.5000
C: 0.5000 0.5000 0.0000

V, A^3/atom: 16.4
Energy of formation, eV/atom: 0.284
Energy above the most stable polymorph in this dataset, meV/atom: 771.9
Total DFT energy (no corrections), eV for the cell shown: -65.5
N(E_F), states/eV/atom: 1.127


Entry 7:
A relaxed Ti3ZnC crystal, computed with PBE-GGA.

Lattice parameters (Å, degrees): 10.5665 10.5665 10.5665 156.02 156.02 34.17
Atoms (fractional coordinates):
Ti: 0.1918 0.1918 0.0000
Ti: 0.3684 0.1404 0.7720
Ti: 0.3684 0.5964 0.2280
Ti: 0.4036 0.6316 0.7720
Ti: 0.8082 0.8082 0.0000
Ti: 0.8596 0.6316 0.2280
Zn: 0.2500 0.7500 0.5000
Zn: 0.5000 0.5000 0.0000
C: 0.6484 0.1484 0.5000
C: 0.8516 0.3516 0.5000

V, A^3/atom: 19.5
Energy of formation, eV/atom: 0.825
Energy above the most stable polymorph in this dataset, meV/atom: 1312.9
Total DFT energy (no corrections), eV for the cell shown: -60.1
N(E_F), states/eV/atom: 0.833


Entry 8:
A relaxed Ti4Zn2C crystal, computed with PBE-GGA.

Lattice parameters (Å, degrees): 7.2572 9.9292 3.0312 90.00 90.00 90.00
Atoms (fractional coordinates):
Ti: 0.1372 0.1848 0.0000
Ti: 0.1728 0.9307 0.5000
Ti: 0.3272 0.4307 0.5000
Ti: 0.3628 0.6848 0.0000
Ti: 0.6372 0.3152 0.0000
Ti: 0.6728 0.5693 0.5000
Ti: 0.8272 0.0693 0.5000
Ti: 0.8628 0.8152 0.0000
Zn: 0.0545 0.6326 0.5000
Zn: 0.4455 0.1326 0.5000
Zn: 0.5545 0.8674 0.5000
Zn: 0.9455 0.3674 0.5000
C: 0.0000 0.0000 0.0000
C: 0.5000 0.5000 0.0000

V, A^3/atom: 15.6
Energy of formation, eV/atom: -0.252
Total DFT energy (no corrections), eV for the cell shown: -90.2
N(E_F), states/eV/atom: 1.005


Entry 9:
A relaxed Ti3ZnC crystal, computed with PBE-GGA.

Lattice parameters (Å, degrees): 2.9137 7.2079 7.2079 48.22 90.00 90.00
Atoms (fractional coordinates):
Ti: 0.0000 0.0000 0.0000
Ti: 0.5000 0.0906 0.6149
Ti: 0.5000 0.6149 0.0906
Zn: 0.5000 0.1797 0.1797
C: 0.0000 0.8358 0.8358

V, A^3/atom: 22.6
Energy of formation, eV/atom: 0.429
Energy above the most stable polymorph in this dataset, meV/atom: 916.1
Total DFT energy (no corrections), eV for the cell shown: -32.0
N(E_F), states/eV/atom: 0.446


Entry 10:
A relaxed Ti3ZnC crystal, computed with PBE-GGA.

Lattice parameters (Å, degrees): 7.5530 7.5530 5.1996 91.69 91.69 101.52
Atoms (fractional coordinates):
Ti: 0.0511 0.1881 0.0975
Ti: 0.0640 0.6803 0.4070
Ti: 0.1881 0.0511 0.5975
Ti: 0.1958 0.5574 0.9374
Ti: 0.3197 0.9360 0.0930
Ti: 0.4426 0.8042 0.5626
Ti: 0.5574 0.1958 0.4374
Ti: 0.6803 0.0640 0.9070
Ti: 0.8042 0.4426 0.0626
Ti: 0.8119 0.9489 0.4025
Ti: 0.9360 0.3197 0.5930
Ti: 0.9489 0.8119 0.9025
Zn: 0.3038 0.4229 0.4360
Zn: 0.4229 0.3038 0.9360
Zn: 0.5771 0.6962 0.0640
Zn: 0.6962 0.5771 0.5640
C: 0.0662 0.9338 0.2500
C: 0.2017 0.7983 0.7500
C: 0.7983 0.2017 0.2500
C: 0.9338 0.0662 0.7500

V, A^3/atom: 14.5
Energy of formation, eV/atom: -0.391
Energy above the most stable polymorph in this dataset, meV/atom: 96.9
Total DFT energy (no corrections), eV for the cell shown: -144.5
N(E_F), states/eV/atom: 0.630


Entry 11:
A relaxed Ti3ZnC crystal, computed with PBE-GGA.

Lattice parameters (Å, degrees): 5.1712 3.0337 9.3196 90.00 98.59 90.00
Atoms (fractional coordinates):
Ti: 0.1394 0.0000 0.3846
Ti: 0.2005 0.5000 0.1260
Ti: 0.3009 0.0000 0.8711
Ti: 0.6991 0.0000 0.1289
Ti: 0.7995 0.5000 0.8740
Ti: 0.8606 0.0000 0.6154
Zn: 0.3843 0.5000 0.6230
Zn: 0.6157 0.5000 0.3770
C: 0.0000 0.0000 0.0000
C: 0.5000 0.5000 0.0000

V, A^3/atom: 14.5
Energy of formation, eV/atom: -0.404
Energy above the most stable polymorph in this dataset, meV/atom: 83.8
Total DFT energy (no corrections), eV for the cell shown: -72.4
N(E_F), states/eV/atom: 1.068


Entry 12:
A relaxed TiZn2C2 crystal, computed with PBE-GGA.

Lattice parameters (Å, degrees): 4.7232 4.7232 4.7232 131.34 131.34 71.27
Atoms (fractional coordinates):
Ti: 0.0000 0.0000 0.0000
Zn: 0.3478 0.3478 0.0000
Zn: 0.6522 0.6522 0.0000
C: 0.2500 0.7500 0.5000
C: 0.7500 0.2500 0.5000

V, A^3/atom: 11.6
Energy of formation, eV/atom: 1.082
Energy above the most stable polymorph in this dataset, meV/atom: 534.6
Total DFT energy (no corrections), eV for the cell shown: -23.5
N(E_F), states/eV/atom: 0.615


> Look up the V of the eleventh one.

14.5 A^3/atom